[1]
Entry from Alexandria: a relaxed structure of Ca2FeAgW (GGA-PBE).

```
data_Ca2FeAgW
_cell_length_a 5.665
_cell_length_b 5.665
_cell_length_c 4.408
_cell_angle_alpha 90.00
_cell_angle_beta 90.00
_cell_angle_gamma 90.00
_symmetry_space_group_name_H-M 'P 4/m m m'
_symmetry_Int_Tables_number 123
_symmetry_space_group_name_Hall '-P 4 2'
loop_
_atom_site_label
_atom_site_type_symbol
_atom_site_fract_x
_atom_site_fract_y
_atom_site_fract_z
Ca1 Ca 0.000 0.500 0.000
Fe1 Fe 0.000 0.000 0.500
Ag1 Ag 0.500 0.500 0.500
W1 W 0.000 0.000 0.000
```

Summary:
The calculation puts the volume at 141 Å³ per cell. For the total energy, the calculation gives -23.1 eV for the cell shown. The calculation puts the formation energy at 1.0420 eV per atom.

[2]
Entry from Alexandria: a relaxed structure of TlAs2Ir (GGA-PBE).

```
data_TlAs2Ir
_cell_length_a 3.948
_cell_length_b 3.942
_cell_length_c 5.906
_cell_angle_alpha 90.00
_cell_angle_beta 101.37
_cell_angle_gamma 90.00
_symmetry_space_group_name_H-M 'P 1 m 1'
_symmetry_Int_Tables_number 6
loop_
_symmetry_equiv_pos_as_xyz
'x,y,z'
'x,-y,z'
loop_
_atom_site_label
_atom_site_type_symbol
_atom_site_fract_x
_atom_site_fract_y
_atom_site_fract_z
Tl1 Tl 0.000 0.000 0.000
As1 As 0.150 0.500 0.495
As2 As 0.584 0.000 0.491
Ir1 Ir 0.588 0.500 0.223
```

Summary:
Its offset from the most stable computed form is 285 meV per atom. The calculation puts the volume at 90 Å³ per cell. For the total energy, the calculation gives -19.7 eV for the cell shown. The calculation puts the formation energy at 0.2104 eV per atom.

[3]
Entry from Alexandria: a relaxed structure of Tb4TlRh (GGA-PBE).

```
data_Tb4TlRh
_cell_length_a 13.733
_cell_length_b 13.733
_cell_length_c 13.733
_cell_angle_alpha 90.00
_cell_angle_beta 90.00
_cell_angle_gamma 90.00
_symmetry_space_group_name_H-M 'F -4 3 m'
_symmetry_Int_Tables_number 216
_symmetry_space_group_name_Hall 'F -4 2 3'
loop_
_atom_site_label
_atom_site_type_symbol
_atom_site_fract_x
_atom_site_fract_y
_atom_site_fract_z
Tb1 Tb 0.000 0.000 0.189
Tb2 Tb 0.061 0.250 0.250
Tb3 Tb 0.150 0.150 0.650
Tl1 Tl 0.086 0.086 0.414
Rh1 Rh 0.142 0.142 0.858
```

Summary:
Its offset from the most stable computed form is 0 meV per atom. The calculation puts the volume at 2590 Å³ per cell. For the total energy, the calculation gives -499.9 eV for the cell shown. The calculation puts the formation energy at -0.5012 eV per atom.